[1]
# Ac2PbSe PBE relaxed
# Space-group type   No. 160
# ΔE_f (raw)   -4.3 eV/f.u.
data_Ac2PbSe
_chemical_formula_sum 'Ac2 Pb1 Se1'
_cell_length_a 4.6399
_cell_length_b 4.6399
_cell_length_c 8.4715
_cell_angle_alpha 74.11
_cell_angle_beta 74.11
_cell_angle_gamma 60.00
_symmetry_space_group_name_H-M 'P 1'
_symmetry_Int_Tables_number 1
loop_
_symmetry_equiv_pos_as_xyz
'x,y,z'
loop_
_atom_site_label
_atom_site_type_symbol
_atom_site_fract_x
_atom_site_fract_y
_atom_site_fract_z
Ac1 Ac 0.0826 0.0826 0.7521
Ac2 Ac 0.2526 0.2526 0.2421
Pb1 Pb 0.6674 0.6674 0.9977
Se1 Se 0.4973 0.4973 0.5080

[2]
# AcPbSe PBE relaxed
# Space-group type   No. 107
# ΔE_f (raw)   -2.7 eV/f.u.
data_AcPbSe
_chemical_formula_sum 'Ac1 Pb1 Se1'
_cell_length_a 4.2404
_cell_length_b 4.2404
_cell_length_c 6.6855
_cell_angle_alpha 108.49
_cell_angle_beta 108.49
_cell_angle_gamma 90.00
_symmetry_space_group_name_H-M 'P 1'
_symmetry_Int_Tables_number 1
loop_
_symmetry_equiv_pos_as_xyz
'x,y,z'
loop_
_atom_site_label
_atom_site_type_symbol
_atom_site_fract_x
_atom_site_fract_y
_atom_site_fract_z
Pb1 Pb 0.0215 0.0215 0.0430
Ac1 Ac 0.7057 0.7057 0.4114
Se1 Se 0.2728 0.2728 0.5456

[3]
# AcPbSe3 PBE relaxed
# Space-group type   No. 74
# ΔE_f (raw)   -5.3 eV/f.u.
data_AcPbSe3
_chemical_formula_sum 'Ac2 Pb2 Se6'
_cell_length_a 5.9765
_cell_length_b 9.0187
_cell_length_c 8.0742
_cell_angle_alpha 123.95
_cell_angle_beta 111.72
_cell_angle_gamma 90.00
_symmetry_space_group_name_H-M 'P 1'
_symmetry_Int_Tables_number 1
loop_
_symmetry_equiv_pos_as_xyz
'x,y,z'
loop_
_atom_site_label
_atom_site_type_symbol
_atom_site_fract_x
_atom_site_fract_y
_atom_site_fract_z
Ac1 Ac 0.0000 0.5000 0.0000
Ac2 Ac 0.5000 0.0000 0.0000
Pb1 Pb 0.2500 0.1950 0.5000
Pb2 Pb 0.7500 0.8050 0.5000
Se1 Se 0.0476 0.1922 0.0952
Se2 Se 0.4524 0.5970 0.9048
Se3 Se 0.5476 0.4030 0.0952
Se4 Se 0.9524 0.8078 0.9048
Se5 Se 0.2500 0.8388 0.5000
Se6 Se 0.7500 0.1612 0.5000

[4]
# Ac4SiPbSe2 PBE relaxed
# Space-group type   No. 10
# ΔE_f (raw)   -9.6 eV/f.u.
data_Ac4SiPbSe2
_chemical_formula_sum 'Ac4 Si1 Pb1 Se2'
_cell_length_a 4.6206
_cell_length_b 7.9526
_cell_length_c 8.1032
_cell_angle_alpha 70.41
_cell_angle_beta 90.00
_cell_angle_gamma 90.00
_symmetry_space_group_name_H-M 'P 1'
_symmetry_Int_Tables_number 1
loop_
_symmetry_equiv_pos_as_xyz
'x,y,z'
loop_
_atom_site_label
_atom_site_type_symbol
_atom_site_fract_x
_atom_site_fract_y
_atom_site_fract_z
Ac1 Ac 0.0000 0.7501 0.7386
Ac2 Ac 0.0000 0.2499 0.2614
Ac3 Ac 0.5000 0.7419 0.2619
Ac4 Ac 0.5000 0.2581 0.7381
Si1 Si 0.0000 0.5000 0.5000
Pb1 Pb 0.5000 0.5000 0.0000
Se1 Se 0.0000 0.0000 0.0000
Se2 Se 0.5000 0.0000 0.5000

[5]
# Ac6Si2PbSe3 PBE relaxed
# Space-group type   No. 12
# ΔE_f (raw)   -14.7 eV/f.u.
data_Ac6Si2PbSe3
_chemical_formula_sum 'Ac6 Si2 Pb1 Se3'
_cell_length_a 4.5882
_cell_length_b 9.2430
_cell_length_c 10.2778
_cell_angle_alpha 102.29
_cell_angle_beta 102.90
_cell_angle_gamma 90.00
_symmetry_space_group_name_H-M 'P 1'
_symmetry_Int_Tables_number 1
loop_
_symmetry_equiv_pos_as_xyz
'x,y,z'
loop_
_atom_site_label
_atom_site_type_symbol
_atom_site_fract_x
_atom_site_fract_y
_atom_site_fract_z
Ac1 Ac 0.3299 0.9022 0.6598
Ac2 Ac 0.6710 0.5760 0.3420
Ac3 Ac 0.6701 0.0978 0.3402
Ac4 Ac 0.0044 0.2608 0.0088
Ac5 Ac 0.9956 0.7392 0.9912
Ac6 Ac 0.3290 0.4240 0.6580
Si1 Si 0.8329 0.6647 0.6659
Si2 Si 0.1671 0.3353 0.3341
Pb1 Pb 0.5000 0.0000 0.0000
Se1 Se 0.5000 0.5000 0.0000
Se2 Se 0.8341 0.1674 0.6682
Se3 Se 0.1659 0.8326 0.3318

[6]
# Ac8SiPb4Se3 PBE relaxed
# Space-group type   No. 12
# ΔE_f (raw)   -16.1 eV/f.u.
data_Ac8SiPb4Se3
_chemical_formula_sum 'Ac8 Si1 Pb4 Se3'
_cell_length_a 9.2253
_cell_length_b 9.5534
_cell_length_c 9.2448
_cell_angle_alpha 119.05
_cell_angle_beta 119.93
_cell_angle_gamma 90.00
_symmetry_space_group_name_H-M 'P 1'
_symmetry_Int_Tables_number 1
loop_
_symmetry_equiv_pos_as_xyz
'x,y,z'
loop_
_atom_site_label
_atom_site_type_symbol
_atom_site_fract_x
_atom_site_fract_y
_atom_site_fract_z
Ac1 Ac 0.2403 0.7305 0.9906
Ac2 Ac 0.2402 0.7304 0.4804
Ac3 Ac 0.2535 0.2608 0.5069
Ac4 Ac 0.7503 0.7305 0.9906
Ac5 Ac 0.2497 0.2695 0.0094
Ac6 Ac 0.7465 0.7392 0.4931
Ac7 Ac 0.7598 0.2696 0.5196
Ac8 Ac 0.7597 0.2695 0.0094
Si1 Si 0.0000 0.5000 0.0000
Pb1 Pb 0.5000 0.0000 0.0000
Pb2 Pb 0.5000 0.0000 0.5000
Pb3 Pb 0.0000 0.0000 0.0000
Pb4 Pb 0.0000 0.0000 0.5000
Se1 Se 0.5000 0.5000 0.0000
Se2 Se 0.5000 0.5000 0.5000
Se3 Se 0.0000 0.5000 0.5000

[7]
# Ac6Sn2PbSe3 PBE relaxed
# Space-group type   No. 12
# ΔE_f (raw)   -14.9 eV/f.u.
data_Ac6Sn2PbSe3
_chemical_formula_sum 'Ac6 Sn2 Pb1 Se3'
_cell_length_a 4.7117
_cell_length_b 9.3144
_cell_length_c 10.4313
_cell_angle_alpha 101.95
_cell_angle_beta 103.05
_cell_angle_gamma 90.00
_symmetry_space_group_name_H-M 'P 1'
_symmetry_Int_Tables_number 1
loop_
_symmetry_equiv_pos_as_xyz
'x,y,z'
loop_
_atom_site_label
_atom_site_type_symbol
_atom_site_fract_x
_atom_site_fract_y
_atom_site_fract_z
Ac1 Ac 0.3313 0.9175 0.6626
Ac2 Ac 0.6662 0.5851 0.3325
Ac3 Ac 0.6687 0.0825 0.3374
Ac4 Ac 0.9989 0.2552 0.9978
Ac5 Ac 0.0011 0.7448 0.0022
Ac6 Ac 0.3338 0.4149 0.6675
Sn1 Sn 0.8337 0.6668 0.6674
Sn2 Sn 0.1663 0.3332 0.3326
Pb1 Pb 0.5000 0.0000 0.0000
Se1 Se 0.5000 0.5000 0.0000
Se2 Se 0.8332 0.1667 0.6664
Se3 Se 0.1668 0.8333 0.3336

[8]
# Ac4SnPbSe2 PBE relaxed
# Space-group type   No. 10
# ΔE_f (raw)   -9.8 eV/f.u.
data_Ac4SnPbSe2
_chemical_formula_sum 'Ac4 Sn1 Pb1 Se2'
_cell_length_a 4.7218
_cell_length_b 8.0241
_cell_length_c 8.1708
_cell_angle_alpha 70.17
_cell_angle_beta 90.00
_cell_angle_gamma 90.00
_symmetry_space_group_name_H-M 'P 1'
_symmetry_Int_Tables_number 1
loop_
_symmetry_equiv_pos_as_xyz
'x,y,z'
loop_
_atom_site_label
_atom_site_type_symbol
_atom_site_fract_x
_atom_site_fract_y
_atom_site_fract_z
Ac1 Ac 0.0000 0.7561 0.7466
Ac2 Ac 0.0000 0.2439 0.2534
Ac3 Ac 0.5000 0.7545 0.2506
Ac4 Ac 0.5000 0.2455 0.7494
Sn1 Sn 0.0000 0.5000 0.5000
Pb1 Pb 0.5000 0.5000 0.0000
Se1 Se 0.0000 0.0000 0.0000
Se2 Se 0.5000 0.0000 0.5000

Number 1: total DFT energy (no corrections) -4.92 eV per atom. Number 2: total DFT energy (no corrections) -4.67 eV per atom. Number 3: total DFT energy (no corrections) -4.71 eV per atom. Number 4: total DFT energy (no corrections) -5.27 eV per atom. Number 5: total DFT energy (no corrections) -5.36 eV per atom. Number 6: total DFT energy (no corrections) -4.98 eV per atom. Number 7: total DFT energy (no corrections) -5.15 eV per atom. Number 8: total DFT energy (no corrections) -5.12 eV per atom.